# BaVP2H4O10

A relaxed BaVP2H4O10 crystal (PBE with a Hubbard U, the Alexandria database).

Cell: 6.526 11.037 11.549 Å, 102.20 90.00 90.00°
Each line ends with the local moment (μB).
Fractional coordinates of all 72 atoms:
Ba1 0.635 0.848 0.552  0.00
Ba2 0.135 0.652 0.948  0.00
Ba3 0.365 0.152 0.448  0.00
Ba4 0.865 0.348 0.052  0.00
V1 0.480 0.868 0.180  1.07
V2 0.980 0.632 0.320  1.07
V3 0.520 0.132 0.820  1.07
V4 0.020 0.368 0.680  1.07
P1 0.994 0.896 0.237  0.00
P2 0.494 0.604 0.263  0.00
P3 0.006 0.104 0.763  0.00
P4 0.506 0.396 0.737  0.00
P5 0.388 0.155 0.113  0.00
P6 0.888 0.345 0.387  0.00
P7 0.612 0.845 0.887  0.00
P8 0.112 0.655 0.613  0.00
H1 0.661 0.617 0.051  0.00
H2 0.161 0.883 0.449  0.00
H3 0.339 0.383 0.949  0.00
H4 0.839 0.117 0.551  0.00
H5 0.643 0.553 0.915  0.00
H6 0.143 0.947 0.585  0.00
H7 0.357 0.447 0.085  0.00
H8 0.857 0.053 0.415  0.00
H9 0.833 0.881 0.029  0.00
H10 0.333 0.619 0.471  0.00
H11 0.167 0.119 0.971  0.00
H12 0.667 0.381 0.529  0.00
H13 0.424 0.348 0.225  0.00
H14 0.924 0.152 0.275  0.00
H15 0.576 0.652 0.775  0.00
H16 0.076 0.848 0.725  0.00
O1 0.740 0.569 0.983  0.00
O2 0.240 0.931 0.517  0.00
O3 0.260 0.431 0.017  0.00
O4 0.760 0.069 0.483  0.00
O5 0.019 0.033 0.301  0.00
O6 0.519 0.467 0.199  0.00
O7 0.981 0.967 0.699  0.00
O8 0.481 0.533 0.801  0.00
O9 0.839 0.865 0.938  0.00
O10 0.339 0.635 0.562  0.00
O11 0.161 0.135 0.062  0.00
O12 0.661 0.365 0.438  0.00
O13 0.369 0.261 0.229  0.00
O14 0.869 0.239 0.271  0.00
O15 0.631 0.739 0.771  0.00
O16 0.131 0.761 0.729  0.00
O17 0.478 0.807 0.982  0.00
O18 0.978 0.693 0.518  0.00
O19 0.522 0.193 0.018  0.00
O20 0.022 0.307 0.482  0.00
O21 0.174 0.851 0.150  0.00
O22 0.674 0.649 0.350  0.00
O23 0.826 0.149 0.850  0.00
O24 0.326 0.351 0.650  0.00
O25 0.485 0.681 0.164  0.00
O26 0.985 0.819 0.336  0.00
O27 0.515 0.319 0.836  0.00
O28 0.015 0.181 0.664  0.00
O29 0.466 0.043 0.156  0.00
O30 0.966 0.457 0.344  0.00
O31 0.534 0.957 0.844  0.00
O32 0.034 0.543 0.656  0.00
O33 0.797 0.875 0.158  0.00
O34 0.297 0.625 0.342  0.00
O35 0.203 0.125 0.842  0.00
O36 0.703 0.375 0.658  0.00
O37 0.487 0.905 0.327  -0.12
O38 0.987 0.595 0.173  -0.12
O39 0.513 0.095 0.673  -0.12
O40 0.013 0.405 0.827  -0.12

Results
E_tot   -474.90 eV per cell
M_tot   4.00 Bohr magnetons per cell